No. 1
Computed, not measured: a PBEsol-optimized structure of BaCoSb2Te at the SCAN level of DFT.

The structure in CIF format:
```
data_BaCoSb2Te
_chemical_formula_sum 'Ba1 Co1 Sb2 Te1'
_cell_length_a 6.085
_cell_length_b 6.085
_cell_length_c 6.165
_cell_angle_alpha 90.00
_cell_angle_beta 90.00
_cell_angle_gamma 90.00
_symmetry_space_group_name_H-M 'P 1'
_symmetry_Int_Tables_number 1
loop_
_symmetry_equiv_pos_as_xyz
'x,y,z'
loop_
_atom_site_label
_atom_site_fract_x
_atom_site_fract_y
_atom_site_fract_z
Ba1 0.000 0.000 0.000
Co1 0.500 0.500 0.500
Sb1 0.000 0.500 0.000
Sb2 0.500 0.000 0.000
Te1 0.000 0.000 0.500
```

## Properties
formation energy from raw total energies	1.45	eV per atom
magnetization	2.51	μB per formula unit
space group	P4/mmm (123)


No. 2
Computed, not measured: a PBEsol-optimized structure of BaScCo4 at the SCAN level of DFT.

The structure in CIF format:
```
data_BaScCo4
_chemical_formula_sum 'Ba1 Sc1 Co4'
_cell_length_a 5.029
_cell_length_b 5.029
_cell_length_c 5.029
_cell_angle_alpha 60.00
_cell_angle_beta 60.00
_cell_angle_gamma 60.00
_symmetry_space_group_name_H-M 'P 1'
_symmetry_Int_Tables_number 1
loop_
_symmetry_equiv_pos_as_xyz
'x,y,z'
loop_
_atom_site_label
_atom_site_fract_x
_atom_site_fract_y
_atom_site_fract_z
Ba1 0.000 0.000 0.000
Sc1 0.750 0.750 0.750
Co1 0.377 0.377 0.377
Co2 0.377 0.377 0.869
Co3 0.377 0.869 0.377
Co4 0.869 0.377 0.377
```

## Properties
magnetization	4.49	μB per formula unit
space group	F-43m (216)


No. 3
Computed, not measured: a PBEsol-optimized structure of Ba2CoSe at the SCAN level of DFT.

The structure in CIF format:
```
data_Ba2CoSe
_chemical_formula_sum 'Ba2 Co1 Se1'
_cell_length_a 3.928
_cell_length_b 3.928
_cell_length_c 7.596
_cell_angle_alpha 90.00
_cell_angle_beta 90.00
_cell_angle_gamma 90.00
_symmetry_space_group_name_H-M 'P 1'
_symmetry_Int_Tables_number 1
loop_
_symmetry_equiv_pos_as_xyz
'x,y,z'
loop_
_atom_site_label
_atom_site_fract_x
_atom_site_fract_y
_atom_site_fract_z
Ba1 0.000 0.000 0.248
Ba2 0.000 0.000 0.752
Co1 0.500 0.500 0.500
Se1 0.500 0.500 0.000
```

## Properties
formation energy from raw total energies	-0.73	eV per atom
magnetization	1.00	μB per formula unit
space group	P4/mmm (123)


No. 4
Computed, not measured: a PBEsol-optimized structure of BaCo3Se at the SCAN level of DFT.

The structure in CIF format:
```
data_BaCo3Se
_chemical_formula_sum 'Ba1 Co3 Se1'
_cell_length_a 4.762
_cell_length_b 4.762
_cell_length_c 4.762
_cell_angle_alpha 90.00
_cell_angle_beta 90.00
_cell_angle_gamma 90.00
_symmetry_space_group_name_H-M 'P 1'
_symmetry_Int_Tables_number 1
loop_
_symmetry_equiv_pos_as_xyz
'x,y,z'
loop_
_atom_site_label
_atom_site_fract_x
_atom_site_fract_y
_atom_site_fract_z
Ba1 0.000 0.000 0.000
Co1 0.000 0.000 0.500
Co2 0.000 0.500 0.000
Co3 0.500 0.000 0.000
Se1 0.500 0.500 0.500
```

## Properties
formation energy from raw total energies	2.06	eV per atom
magnetization	4.14	μB per formula unit
space group	Pm-3m (221)


No. 5
Computed, not measured: a PBEsol-optimized structure of Ba2CoSe at the SCAN level of DFT.

The structure in CIF format:
```
data_Ba2CoSe
_chemical_formula_sum 'Ba8 Co4 Se4'
_cell_length_a 7.533
_cell_length_b 7.533
_cell_length_c 7.533
_cell_angle_alpha 90.00
_cell_angle_beta 90.00
_cell_angle_gamma 90.00
_symmetry_space_group_name_H-M 'P 1'
_symmetry_Int_Tables_number 1
loop_
_symmetry_equiv_pos_as_xyz
'x,y,z'
loop_
_atom_site_label
_atom_site_fract_x
_atom_site_fract_y
_atom_site_fract_z
Ba1 0.000 0.000 0.000
Ba2 0.000 0.500 0.500
Ba3 0.250 0.250 0.250
Ba4 0.250 0.750 0.750
Ba5 0.500 0.000 0.500
Ba6 0.500 0.500 0.000
Ba7 0.750 0.250 0.750
Ba8 0.750 0.750 0.250
Co1 0.250 0.250 0.750
Co2 0.250 0.750 0.250
Co3 0.750 0.250 0.250
Co4 0.750 0.750 0.750
Se1 0.000 0.000 0.500
Se2 0.000 0.500 0.000
Se3 0.500 0.000 0.000
Se4 0.500 0.500 0.500
```

## Properties
formation energy from raw total energies	-0.02	eV per atom
magnetization	1.12	μB per formula unit
space group	F-43m (216)


No. 6
Computed, not measured: a PBEsol-optimized structure of BaCoSi2 at the SCAN level of DFT.

The structure in CIF format:
```
data_BaCoSi2
_chemical_formula_sum 'Ba3 Co3 Si6'
_cell_length_a 3.903
_cell_length_b 3.903
_cell_length_c 17.923
_cell_angle_alpha 90.00
_cell_angle_beta 90.00
_cell_angle_gamma 120.00
_symmetry_space_group_name_H-M 'P 1'
_symmetry_Int_Tables_number 1
loop_
_symmetry_equiv_pos_as_xyz
'x,y,z'
loop_
_atom_site_label
_atom_site_fract_x
_atom_site_fract_y
_atom_site_fract_z
Ba1 0.000 0.000 0.000
Ba2 0.333 0.667 0.667
Ba3 0.667 0.333 0.333
Co1 0.000 0.000 0.500
Co2 0.333 0.667 0.167
Co3 0.667 0.333 0.833
Si1 0.000 0.000 0.198
Si2 0.000 0.000 0.802
Si3 0.333 0.667 0.468
Si4 0.333 0.667 0.865
Si5 0.667 0.333 0.135
Si6 0.667 0.333 0.532
```

## Properties
formation energy from raw total energies	-0.36	eV per atom
magnetization	0.00	μB per formula unit
space group	R-3m (166)


No. 7
Computed, not measured: a PBEsol-optimized structure of BaCoSi2 at the SCAN level of DFT.

The structure in CIF format:
```
data_BaCoSi2
_chemical_formula_sum 'Ba1 Co1 Si2'
_cell_length_a 3.167
_cell_length_b 3.167
_cell_length_c 7.273
_cell_angle_alpha 90.00
_cell_angle_beta 90.00
_cell_angle_gamma 90.00
_symmetry_space_group_name_H-M 'P 1'
_symmetry_Int_Tables_number 1
loop_
_symmetry_equiv_pos_as_xyz
'x,y,z'
loop_
_atom_site_label
_atom_site_fract_x
_atom_site_fract_y
_atom_site_fract_z
Ba1 0.000 0.000 0.000
Co1 0.500 0.500 0.355
Si1 0.000 0.000 0.460
Si2 0.500 0.500 0.664
```

## Properties
formation energy from raw total energies	0.18	eV per atom
magnetization	0.00	μB per formula unit
space group	P4mm (99)


No. 8
Computed, not measured: a PBEsol-optimized structure of BaCoSi2 at the SCAN level of DFT.

The structure in CIF format:
```
data_BaCoSi2
_chemical_formula_sum 'Ba1 Co1 Si2'
_cell_length_a 3.103
_cell_length_b 3.103
_cell_length_c 7.361
_cell_angle_alpha 90.00
_cell_angle_beta 90.00
_cell_angle_gamma 90.00
_symmetry_space_group_name_H-M 'P 1'
_symmetry_Int_Tables_number 1
loop_
_symmetry_equiv_pos_as_xyz
'x,y,z'
loop_
_atom_site_label
_atom_site_fract_x
_atom_site_fract_y
_atom_site_fract_z
Ba1 0.000 0.000 0.000
Co1 0.000 0.000 0.500
Si1 0.500 0.500 0.337
Si2 0.500 0.500 0.663
```

## Properties
formation energy from raw total energies	0.11	eV per atom
magnetization	0.00	μB per formula unit
space group	P4/mmm (123)


no.,raw total energy (eV/cell)
1,-161.4
2,-120.5
3,-119.4
4,-101.2
5,-466.2
6,-234.9
7,-76.2
8,-76.4